Record 1
{
  "formula": "CsCaNb",
  "functional": "GGA-PBE",
  "state": "relaxed",
  "sg": "P1, No. 1",
  "relative_energy_ev_per_atom": 0.000,
  "ef_ev_per_atom": 0.40,
  "lattice_angstrom": [[-3.193, 0.025, -1.858], [-1.736, -1.366, 2.966], [-3.805, 18.508, -0.476]],
  "species": ["Ca", "Ca", "Nb", "Nb", "Cs", "Cs"],
  "fractional_positions": [[0.884, 0.081, 0.944], [0.084, 0.025, 0.247], [0.706, 0.345, 0.124], [0.262, 0.761, 0.067], [0.598, 0.257, 0.725], [0.370, 0.845, 0.467]]
}

=====

Record 2
{
  "formula": "Sr3TlO",
  "functional": "GGA-PBE",
  "state": "relaxed",
  "sg": "P6_3/mmc, No. 194",
  "e_form_raw_kj_per_mol_atoms": -102.4,
  "lattice_angstrom": [[-3.416, -0.630, 2.661], [3.890, -1.747, 0.982], [4.926, 16.754, 10.286]],
  "species": ["Sr", "Sr", "Sr", "Sr", "Sr", "Sr", "Tl", "Tl", "O", "O"],
  "fractional_positions": [[0.333, 0.667, 0.616], [0.333, 0.667, 0.884], [0.667, 0.333, 0.116], [0.667, 0.333, 0.384], [0.000, 0.000, 0.250], [0.000, 0.000, 0.750], [0.000, 0.000, 0.500], [0.000, 0.000, 0.000], [0.667, 0.333, 0.250], [0.333, 0.667, 0.750]]
}

=====

Record 3
{
  "formula": "Er2Tm4N",
  "functional": "GGA-PBE",
  "state": "relaxed",
  "sg": "I4/mmm, No. 139",
  "e_form_raw_kj_per_mol_atoms": -27.0,
  "lattice_angstrom": [[4.686, 0.000, 0.000], [0.000, 4.686, 0.000], [2.343, 2.343, 8.717]],
  "species": ["Er", "Er", "Tm", "Tm", "Tm", "Tm", "N"],
  "fractional_positions": [[0.670, 0.670, 0.661], [0.330, 0.330, 0.339], [0.500, 0.000, 0.000], [0.000, 0.500, 0.000], [0.867, 0.867, 0.265], [0.133, 0.133, 0.735], [0.000, 0.000, 0.000]]
}

=====

Record 4
{
  "formula": "La2ScTc",
  "functional": "GGA-PBE",
  "state": "relaxed",
  "sg": "C2/m, No. 12",
  "relative_energy_ev_per_atom": 0.368,
  "ef_ev_per_atom": 0.40,
  "lattice_angstrom": [[6.011, 0.001, 0.002], [-2.718, 5.245, 0.001], [0.575, 1.019, 3.108]],
  "species": ["Tc", "La", "La", "Sc"],
  "fractional_positions": [[0.500, 0.500, 0.000], [0.500, 0.000, 0.500], [0.000, 0.000, 0.000], [0.000, 0.500, 0.500]]
}

=====

Record 5
{
  "formula": "AlCdNi2",
  "functional": "GGA-PBE",
  "state": "relaxed",
  "sg": "I-42d, No. 122",
  "ef_ev_per_atom": 0.11,
  "lattice_angstrom": [[-3.489, 0.980, -5.652], [-2.497, -6.215, 0.464], [-5.060, -1.680, -1.156]],
  "species": ["Ni", "Ni", "Ni", "Ni", "Cd", "Cd", "Al", "Al"],
  "fractional_positions": [[0.375, 0.405, 0.750], [0.595, 0.125, 0.250], [0.155, 0.625, 0.250], [0.875, 0.845, 0.750], [0.000, 0.000, 0.000], [0.750, 0.250, 0.500], [0.500, 0.500, 0.000], [0.250, 0.750, 0.500]]
}

=====

Record 6
{
  "formula": "Sm2InGa3Pt4",
  "functional": "GGA-PBE",
  "state": "relaxed",
  "sg": "P-4m2, No. 115",
  "ef_ev_per_atom": -0.91,
  "lattice_angstrom": [[-3.655, 1.894, 0.476], [-0.575, -0.078, -4.103], [-5.185, -10.238, 0.923]],
  "species": ["Ga", "Ga", "Ga", "In", "Sm", "Sm", "Pt", "Pt", "Pt", "Pt"],
  "fractional_positions": [[0.000, 0.500, 0.129], [0.500, 0.000, 0.871], [0.000, 0.000, 0.500], [0.500, 0.500, 0.500], [0.500, 0.000, 0.242], [0.000, 0.500, 0.758], [0.500, 0.000, 0.656], [0.000, 0.000, 0.000], [0.000, 0.500, 0.344], [0.500, 0.500, 0.000]]
}

=====

Record 7
{
  "formula": "Y2ScP",
  "functional": "GGA-PBE",
  "state": "relaxed",
  "sg": "P4/mmm, No. 123",
  "ef_ev_per_atom": -0.36,
  "lattice_angstrom": [[-2.385, -0.074, 3.921], [-0.677, -4.513, -0.497], [3.591, -0.778, 2.170]],
  "species": ["Y", "Y", "Sc", "P"],
  "fractional_positions": [[0.000, 0.500, 0.000], [0.500, 0.000, 0.000], [0.000, 0.000, 0.500], [0.500, 0.500, 0.500]]
}

=====

Record 8
{
  "formula": "AgPb2Br",
  "functional": "GGA-PBE",
  "state": "relaxed",
  "sg": "P4mm, No. 99",
  "relative_energy_ev_per_atom": 0.050,
  "e_form_raw_kj_per_mol_atoms": -8.2,
  "lattice_angstrom": [[-1.695, -1.857, 2.585], [-1.658, -1.987, -2.514], [6.365, -5.549, 0.186]],
  "species": ["Pb", "Pb", "Br", "Ag"],
  "fractional_positions": [[0.500, 0.500, 0.283], [0.000, 0.000, 0.003], [0.500, 0.500, 0.710], [0.000, 0.000, 0.505]]
}

=====

Record 9
{
  "formula": "LaSm3C8",
  "functional": "GGA-PBE",
  "state": "relaxed",
  "sg": "I-42m, No. 121",
  "ef_ev_per_atom": 0.12,
  "lattice_angstrom": [[6.279, 0.000, 1.320], [-3.024, 5.057, 2.548], [0.231, 0.000, 6.416]],
  "species": ["Sm", "Sm", "Sm", "La", "C", "C", "C", "C", "C", "C", "C", "C"],
  "fractional_positions": [[0.750, 0.500, 0.750], [0.250, 0.500, 0.250], [0.500, 0.000, 0.500], [0.000, 0.000, 0.000], [0.875, 0.000, 0.585], [0.924, 0.339, 0.076], [0.415, 0.000, 0.924], [0.585, 0.661, 0.415], [0.076, 0.000, 0.585], [0.585, 0.459, 0.416], [0.125, 0.541, 0.875], [0.415, 0.000, 0.125]]
}

=====

Record 10
{
  "formula": "Nd6P2N3Cl",
  "functional": "GGA-PBE",
  "state": "relaxed",
  "sg": "C2/m, No. 12",
  "e_form_raw_kj_per_mol_atoms": -138.5,
  "lattice_angstrom": [[-3.026, 2.345, 0.257], [-3.156, -3.368, -6.454], [-1.410, -5.677, 6.548]],
  "species": ["Nd", "Nd", "Nd", "Nd", "Nd", "Nd", "P", "P", "N", "N", "N", "Cl"],
  "fractional_positions": [[0.010, 0.718, 0.020], [0.679, 0.068, 0.357], [0.321, 0.932, 0.643], [0.663, 0.595, 0.325], [0.990, 0.282, 0.980], [0.337, 0.405, 0.675], [0.838, 0.675, 0.676], [0.162, 0.325, 0.324], [0.831, 0.163, 0.663], [0.169, 0.837, 0.337], [0.500, 0.500, 0.000], [0.500, 0.000, 0.000]]
}

=====

Record 11
{
  "formula": "Nd4Tl2Hg",
  "functional": "GGA-PBE",
  "state": "relaxed",
  "sg": "I4/mmm, No. 139",
  "relative_energy_ev_per_atom": 0.000,
  "ef_ev_per_atom": -0.29,
  "lattice_angstrom": [[6.257, -0.058, -2.238], [-3.136, 5.443, -2.170], [-0.034, 0.058, 6.645]],
  "species": ["Nd", "Nd", "Nd", "Nd", "Tl", "Tl", "Hg"],
  "fractional_positions": [[0.000, 0.500, 0.000], [0.000, 0.000, 0.500], [0.500, 0.500, 0.500], [0.500, 0.000, 0.000], [0.500, 0.500, 0.000], [0.500, 0.000, 0.500], [0.000, 0.000, 0.000]]
}

=====

Record 12
{
  "formula": "FeSI2",
  "functional": "GGA-PBE",
  "state": "relaxed",
  "sg": "Fm-3m, No. 225",
  "relative_energy_ev_per_atom": 0.322,
  "e_form_raw_kj_per_mol_atoms": 85.9,
  "lattice_angstrom": [[-2.654, 2.705, 3.387], [-1.942, 4.510, -1.311], [-5.024, 0.540, -0.553]],
  "species": ["S", "Fe", "I", "I"],
  "fractional_positions": [[0.000, 0.000, 0.000], [0.500, 0.500, 0.500], [0.750, 0.750, 0.750], [0.250, 0.250, 0.250]]
}

=====

Number 1: N(E_F) 3.2 states/eV/f.u.. Number 2: N(E_F) 4.2 states/eV/f.u.. Number 3: N(E_F) 8.2 states/eV/f.u.. Number 4: N(E_F) 6.5 states/eV/f.u.. Number 5: N(E_F) 1.8 states/eV/f.u.. Number 6: N(E_F) 4.4 states/eV/f.u.. Number 7: N(E_F) 4.2 states/eV/f.u.. Number 8: N(E_F) 1.5 states/eV/f.u.. Number 9: N(E_F) 3.6 states/eV/f.u.. Number 10: N(E_F) 3.8 states/eV/f.u.. Number 11: N(E_F) 7.0 states/eV/f.u.. Number 12: N(E_F) 5.6 states/eV/f.u..